VASP calculation (PBE-GGA) on a relaxed TaNiMo crystal.

Calculated values
As for the relative energy among the computed polymorphs: 4 meV/atom.

Unit cell a=4.813 b=8.529 c=8.775 alpha=90.00 beta=90.00 gamma=90.00
Space group Fmmm (No. 69)
Unique sites:
Ta: 0.000 0.000 0.159 (multiplicity 8)
Ni: 0.250 0.250 0.250 (multiplicity 8)
Mo: 0.000 0.153 0.500 (multiplicity 8)

---

VASP calculation (PBE-GGA) on a relaxed Pu2GeP3Rh4 crystal.

Unit cell a=4.104 b=4.104 c=9.910 alpha=90.00 beta=90.00 gamma=90.00
Space group P-4m2 (No. 115)
Unique sites:
Pu: 0.000 0.500 0.247 (multiplicity 2)
Ge: 0.500 0.500 0.000 (multiplicity 1)
P: 0.000 0.000 0.000 (multiplicity 1)
P: 0.000 0.500 0.635 (multiplicity 2)
Rh: 0.000 0.000 0.500 (multiplicity 1)
Rh: 0.000 0.500 0.870 (multiplicity 2)
Rh: 0.500 0.500 0.500 (multiplicity 1)

---

no.,DFT formation energy (eV/atom)
1,-0.089
2,-0.828